{"formula": "NbGeP2S", "functional": "meta-GGA SCAN", "state": "single point on PBEsol structure", "dft_energy_ev_per_cell": -80.69, "cell": [[-0.197, -3.877, 2.610], [0.165, -2.694, -3.990], [4.810, -0.076, 0.250]], "species": ["S", "P", "P", "Nb", "Ge"], "fractional_positions": [[0.500, 0.000, 0.000], [0.000, 0.000, 0.500], [0.000, 0.500, 0.000], [0.000, 0.000, 0.000], [0.500, 0.500, 0.500]]}



{"formula": "Sr2NbFeO6", "functional": "meta-GGA SCAN", "state": "single point on PBEsol structure", "dft_energy_ev_per_cell": -160.74, "cell": [[5.489, 0.000, 0.000], [2.744, 4.754, 0.000], [2.744, 1.585, 4.482]], "species": ["Sr", "Sr", "Nb", "Fe", "O", "O", "O", "O", "O", "O"], "fractional_positions": [[0.750, 0.750, 0.750], [0.250, 0.250, 0.250], [0.000, 0.000, 0.000], [0.500, 0.500, 0.500], [0.257, 0.743, 0.743], [0.743, 0.257, 0.257], [0.257, 0.257, 0.743], [0.743, 0.743, 0.257], [0.257, 0.743, 0.257], [0.743, 0.257, 0.743]]}



{"formula": "BaY2F8", "functional": "meta-GGA SCAN", "state": "single point on PBEsol structure", "polymorph_energy_mev_per_atom": 111, "cell": [[5.360, 0.000, 0.000], [0.000, 5.360, 0.000], [0.000, 0.000, 6.269]], "species": ["Ba", "Y", "Y", "F", "F", "F", "F", "F", "F", "F", "F"], "fractional_positions": [[0.500, 0.500, 0.500], [0.500, 0.000, 0.000], [0.000, 0.500, 0.000], [0.747, 0.747, 0.201], [0.747, 0.253, 0.799], [0.747, 0.747, 0.799], [0.747, 0.253, 0.201], [0.253, 0.747, 0.201], [0.253, 0.747, 0.799], [0.253, 0.253, 0.201], [0.253, 0.253, 0.799]]}



{"formula": "Zr2TlIn", "functional": "meta-GGA SCAN", "state": "single point on PBEsol structure", "polymorph_energy_mev_per_atom": 0, "ef_ev_per_atom": -0.368, "cell": [[-1.207, -0.478, -2.863], [0.050, -5.290, 0.862], [-4.712, 1.940, 1.663]], "species": ["Tl", "Zr", "Zr", "In"], "fractional_positions": [[0.500, 0.500, 0.500], [0.000, 0.500, 0.000], [0.000, 0.000, 0.500], [0.500, 0.000, 0.000]]}



{"formula": "Ta2SbIr", "functional": "meta-GGA SCAN", "state": "single point on PBEsol structure", "dft_energy_ev_per_cell": -480.58, "cell": [[-0.814, -3.823, 0.077], [2.403, -0.450, 3.051], [-8.240, 3.845, 4.552]], "species": ["Sb", "Sb", "Ir", "Ir", "Ta", "Ta", "Ta", "Ta"], "fractional_positions": [[0.750, 0.250, 0.500], [0.500, 0.500, 0.000], [0.250, 0.750, 0.500], [0.000, 0.000, 0.000], [0.376, 0.875, 0.250], [0.874, 0.375, 0.250], [0.125, 0.126, 0.750], [0.625, 0.624, 0.750]]}



{"formula": "CaNbSe2", "functional": "meta-GGA SCAN", "state": "single point on PBEsol structure", "polymorph_energy_mev_per_atom": 0, "cell": [[-2.575, 0.354, -3.963], [1.822, -1.405, -4.143], [-1.651, -3.909, -2.110]], "species": ["Nb", "Ca", "Se", "Se"], "fractional_positions": [[0.500, 0.500, 0.500], [0.000, 0.000, 0.000], [0.250, 0.250, 0.250], [0.750, 0.750, 0.750]]}